Entry from the Alexandria database: a geometry-optimized ScAlZn2Br structure (PBE).

## Properties
symmetry	No. 123
uncorrected formation energy	0.308	eV per atom
crystal system	tetragonal

Geometry as CIF:
```
data_ScAlZn2Br
_cell_length_a 4.7801
_cell_length_b 4.7801
_cell_length_c 5.3382
_cell_angle_alpha 90.00
_cell_angle_beta 90.00
_cell_angle_gamma 90.00
_symmetry_space_group_name_H-M 'P 1'
_symmetry_Int_Tables_number 1
loop_
_symmetry_equiv_pos_as_xyz
'x,y,z'
loop_
_atom_site_label
_atom_site_fract_x
_atom_site_fract_y
_atom_site_fract_z
Sc1 0.0000 0.0000 0.0000
Al1 0.5000 0.5000 0.5000
Zn1 0.0000 0.5000 0.5000
Zn2 0.5000 0.0000 0.5000
Br1 0.5000 0.5000 0.0000
```